The following is a GGA+U calculation of an optimized crystal structure of YMn2O, from Alexandria via LeMat-Bulk.

POSCAR file:
```
YMn2O
1.0
-2.452 5.711 1.443
-1.653 -2.167 5.769
1.949 3.077 5.242
Y Mn O
2 4 2
Direct
0.000 0.000 0.000 Y
0.750 0.250 0.500 Y
0.377 0.125 0.250 Mn
0.373 0.625 0.250 Mn
0.375 0.623 0.750 Mn
0.875 0.627 0.750 Mn
0.500 0.500 0.000 O
0.250 0.750 0.500 O
```

Computed properties:
final energy = -6.93 eV/atom
spin magnetization = 15.9 Bohr magnetons per cell